# 1
A relaxed structure of Na2ZnPtC, computed with PBE-GGA.

Geometry as extended XYZ:
```
5
Lattice="5.403 0.000 0.000 0.000 5.403 0.000 0.000 0.000 3.548" Properties=species:S:1:pos:R:3 pbc="T T T"
Na 0.000 2.702 0.000
Na 2.702 0.000 0.000
Zn 0.000 0.000 0.000
Pt 2.702 2.702 1.774
C 0.000 0.000 1.774
```

As for the total DFT energy (no corrections): -2.93 eV per atom. The value obtained for the energy relative to the elements is 0.9063 eV per atom. The density of states at the Fermi level is 3.7 states/eV/f.u.



# 2
A relaxed structure of NaPu2C, computed with PBE-GGA.

Geometry as extended XYZ:
```
4
Lattice="1.690 0.976 10.104 -1.690 0.976 10.104 0.000 -1.952 10.104" Properties=species:S:1:pos:R:3 pbc="T T T"
Na 0.000 0.000 0.000
Pu 0.000 0.000 3.605
Pu 0.000 0.000 26.708
C 0.000 0.000 15.157
```

As for the total DFT energy (no corrections): -9.69 eV per atom. The value obtained for the energy relative to the elements is 0.1159 eV per atom. The density of states at the Fermi level is 14.3 states/eV/f.u.



# 3
A relaxed structure of Rb3NaC, computed with PBE-GGA.

Geometry as extended XYZ:
```
5
Lattice="6.342 0.000 0.000 0.000 6.342 0.000 0.000 0.000 6.342" Properties=species:S:1:pos:R:3 pbc="T T T"
Rb 0.000 0.000 3.171
Rb 0.000 3.171 0.000
Rb 3.171 0.000 0.000
Na 3.171 3.171 3.171
C 0.000 0.000 0.000
```

As for the total DFT energy (no corrections): -1.82 eV per atom. The value obtained for the energy relative to the elements is 0.8662 eV per atom. The density of states at the Fermi level is 2.1 states/eV/f.u.



# 4
A relaxed structure of Rb2NaCS, computed with PBE-GGA.

Geometry as extended XYZ:
```
5
Lattice="6.523 0.000 0.000 0.000 6.523 0.000 0.000 0.000 4.738" Properties=species:S:1:pos:R:3 pbc="T T T"
Rb 0.000 3.261 0.000
Rb 3.261 0.000 0.000
Na 0.000 0.000 0.000
C 3.261 3.261 2.369
S 0.000 0.000 2.369
```

As for the total DFT energy (no corrections): -2.57 eV per atom. As for the uncorrected formation energy: 0.75 eV per atom. The density of states at the Fermi level is 0.0 states/eV/f.u.



# 5
A relaxed structure of RbNaSb2C, computed with PBE-GGA.

Geometry as extended XYZ:
```
5
Lattice="6.258 0.000 0.000 0.000 6.258 0.000 0.000 0.000 4.695" Properties=species:S:1:pos:R:3 pbc="T T T"
Rb 0.000 0.000 0.000
Na 3.129 3.129 2.347
Sb 0.000 3.129 0.000
Sb 3.129 0.000 0.000
C 0.000 0.000 2.347
```

As for the total DFT energy (no corrections): -1.97 eV per atom. As for the uncorrected formation energy: 1.98 eV per atom. The density of states at the Fermi level is 8.3 states/eV/f.u.



# 6
A relaxed structure of Rb2NaSiC, computed with PBE-GGA.

Geometry as extended XYZ:
```
5
Lattice="6.251 0.000 0.000 0.000 6.251 0.000 0.000 0.000 4.463" Properties=species:S:1:pos:R:3 pbc="T T T"
Rb 0.000 3.125 0.000
Rb 3.125 0.000 0.000
Na 0.000 0.000 0.000
Si 3.125 3.125 2.231
C 0.000 0.000 2.231
```

As for the total DFT energy (no corrections): -2.04 eV per atom. As for the uncorrected formation energy: 1.54 eV per atom. The density of states at the Fermi level is 4.6 states/eV/f.u.